# 1
Density functional theory data (PBE) for crystalline BePdW at its relaxed geometry.

Geometry as POSCAR:
```
BePdW
1.0
2.0684 -6.3335 0.0000
2.0684 6.3335 0.0000
0.0000 0.0000 3.0982
Be Pd W
2 2 2
Direct
0.1628 0.8372 0.0000
0.8372 0.1628 0.0000
0.3224 0.6776 0.5000
0.6776 0.3224 0.5000
0.0000 0.0000 0.5000
0.5000 0.5000 0.0000
```

ΔH_f (0 K) ... -5.1 kJ/mol of atoms
Space group ... Cmmm (65)
Distance to the lowest polymorph of the same formula ... 0.438 eV per formula unit
Energy ... -0.5397 Ry per atom

# 2
Density functional theory data (PBE) for crystalline Pr2HoIn at its relaxed geometry.

Geometry as POSCAR:
```
Pr2HoIn
1.0
4.7938 0.0000 0.0000
0.0000 4.6598 0.0000
-2.4149 0.0000 11.5247
Pr Ho In
4 2 2
Direct
0.0608 0.2500 0.1206
0.4237 0.2500 0.8491
0.5763 0.7500 0.1509
0.9392 0.7500 0.8794
0.3023 0.7500 0.6067
0.6977 0.2500 0.3933
0.1704 0.7500 0.3385
0.8296 0.2500 0.6615
```

ΔH_f (0 K) ... -11.6 kJ/mol of atoms
Space group ... P2_1/m (11)
Distance to the lowest polymorph of the same formula ... 0.582 eV per formula unit
Energy ... -0.3189 Ry per atom

# 3
Density functional theory data (PBE) for crystalline Ac4SiTe2Au at its relaxed geometry.

Geometry as POSCAR:
```
Ac4SiTe2Au
1.0
7.9899 0.0000 0.0000
0.0000 4.6084 0.0000
-2.6078 0.0000 7.8507
Ac Si Te Au
4 1 2 1
Direct
0.2360 0.0000 0.2256
0.2508 0.5000 0.7703
0.7492 0.5000 0.2297
0.7640 0.0000 0.7744
0.0000 0.5000 0.0000
0.0000 0.0000 0.5000
0.5000 0.5000 0.5000
0.5000 0.0000 0.0000
```

Formation energy from raw total energies ... -25.16 kcal/mol of atoms
Space group ... P2/m (10)
Energy ... -0.3688 Ry per atom

# 4
Density functional theory data (PBE) for crystalline Fe4Ir at its relaxed geometry.

Geometry as POSCAR:
```
Fe4Ir
1.0
-2.7886 2.7886 2.7886
2.7886 -2.7886 2.7886
2.7886 2.7886 -2.7886
Fe Ir
4 1
Direct
0.0000 0.0000 0.5000
0.0000 0.5000 0.0000
0.5000 0.0000 0.0000
0.5000 0.5000 0.5000
0.0000 0.0000 0.0000
```

ΔH_f (0 K) ... 90.1 kJ/mol of atoms
Space group ... Im-3m (229)
Distance to the lowest polymorph of the same formula ... 4.870 eV per formula unit
Energy ... -0.5592 Ry per atom